[1]
Computed, not measured: a relaxed structure of K2AgHgF6 at the PBE level of DFT.

Cell lengths 6.217, 6.217, 6.217 Å; angles 120.01, 120.01, 89.98 degrees
Fractional coordinates of all 10 atoms:
Ag1 0.000 0.000 0.000
F1 0.752 0.248 0.000
F2 0.248 0.248 0.000
F3 0.752 0.752 0.000
F4 0.248 0.752 0.000
F5 0.248 0.248 0.495
F6 0.752 0.752 0.505
Hg1 0.500 0.500 0.000
K1 0.750 0.250 0.500
K2 0.250 0.750 0.500

Computed properties:
**Space-group type**: Fm-3m, No. 225
**Uncorrected energy**: -3.53 eV/atom
**ρ**: 4.9 g/cm³

[2]
Computed, not measured: a relaxed structure of PrGeAs3Ir6 at the PBE level of DFT.

Cell lengths 7.247, 7.247, 3.974 Å; angles 90.00, 90.00, 120.00 degrees
Fractional coordinates of all 11 atoms:
As1 0.050 0.525 0.500
As2 0.475 0.525 0.500
As3 0.475 0.950 0.500
Ge1 0.000 0.000 0.000
Ir1 0.200 0.400 0.000
Ir2 0.200 0.800 0.000
Ir3 0.600 0.800 0.000
Ir4 0.268 0.134 0.500
Ir5 0.866 0.134 0.500
Ir6 0.866 0.732 0.500
Pr1 0.667 0.333 0.000

Computed properties:
**Space-group type**: P-6m2, No. 187
**Uncorrected energy**: -7.34 eV/atom
**Total magnetization**: 0.001 μB/f.u.
**ρ**: 14.6 g/cm³

[3]
Computed, not measured: a relaxed structure of Cd2Ga at the PBE level of DFT.

Cell lengths 4.610, 4.610, 4.610 Å; angles 60.00, 60.00, 60.00 degrees
Fractional coordinates of all 3 atoms:
Cd1 0.250 0.250 0.250
Cd2 0.750 0.750 0.750
Ga1 0.000 0.000 0.000

Computed properties:
**Space-group type**: Fm-3m, No. 225
**Uncorrected energy**: -1.58 eV/atom
**ρ**: 7.1 g/cm³

[4]
Computed, not measured: a relaxed structure of Tm4TlGeC2 at the PBE level of DFT.

Cell lengths 3.546, 3.546, 15.376 Å; angles 90.00, 90.00, 120.00 degrees
Each line ends with the local moment (μB).
Fractional coordinates of all 8 atoms:
C1 0.333 0.667 0.238  0.00
C2 0.333 0.667 0.762  0.00
Ge1 0.000 0.000 0.000  0.00
Tl1 0.667 0.333 0.500  0.03
Tm1 0.667 0.333 0.150  0.00
Tm2 0.000 0.000 0.322  0.07
Tm3 0.000 0.000 0.678  0.06
Tm4 0.667 0.333 0.850  0.00

Computed properties:
**Space-group type**: P-6m2, No. 187
**Uncorrected energy**: -5.89 eV/atom
**Total magnetization**: 0.242 μB/f.u.
**ρ**: 9.7 g/cm³

[5]
Computed, not measured: a relaxed structure of Ba2FeTcS6 at the PBE level of DFT.

Cell lengths 6.663, 6.663, 6.663 Å; angles 120.00, 120.00, 60.00 degrees
Each line ends with the local moment (μB).
Fractional coordinates of all 10 atoms:
Ba1 0.750 0.750 0.250  0.02
Ba2 0.250 0.250 0.750  0.02
Fe1 0.500 0.500 0.500  2.91
S1 0.254 0.254 0.254  0.07
S2 0.746 0.254 0.254  0.08
S3 0.254 0.746 0.254  0.07
S4 0.746 0.254 0.746  0.07
S5 0.254 0.746 0.746  0.08
S6 0.746 0.746 0.746  0.07
Tc1 0.000 0.000 0.000  1.27

Computed properties:
**Space-group type**: Fm-3m, No. 225
**Uncorrected energy**: -5.59 eV/atom
**Total magnetization**: 5.230 μB/f.u.
**ρ**: 4.9 g/cm³

[6]
Computed, not measured: a relaxed structure of KNaTl4Pd2 at the PBE level of DFT.

Cell lengths 8.335, 5.953, 5.953 Å; angles 44.24, 90.00, 90.00 degrees
Fractional coordinates of all 8 atoms:
K1 0.000 0.435 0.435
Na1 0.500 0.566 0.566
Pd1 0.500 0.284 0.284
Pd2 0.000 0.717 0.717
Tl1 0.205 0.144 0.144
Tl2 0.795 0.144 0.144
Tl3 0.305 0.854 0.854
Tl4 0.695 0.854 0.854

Computed properties:
**Space-group type**: Amm2, No. 38
**Uncorrected energy**: -2.95 eV/atom
**ρ**: 8.8 g/cm³

[7]
Computed, not measured: a relaxed structure of AcHoCu at the PBE level of DFT.

Cell lengths 4.996, 4.996, 4.996 Å; angles 60.00, 60.00, 60.00 degrees
Fractional coordinates of all 3 atoms:
Ac1 0.250 0.250 0.250
Cu1 0.750 0.750 0.750
Ho1 0.000 0.000 0.000

Computed properties:
**Space-group type**: F-43m, No. 216
**Uncorrected energy**: -3.46 eV/atom
**Total magnetization**: 0.004 μB/f.u.
**ΔH_f (0 K)**: 0.669 eV per atom
**ρ**: 8.6 g/cm³

[8]
Computed, not measured: a relaxed structure of ZnGeNO at the PBE level of DFT.

Cell lengths 3.160, 5.744, 5.563 Å; angles 90.00, 90.00, 90.00 degrees
Fractional coordinates of all 8 atoms:
Ge1 0.500 0.995 0.194
Ge2 0.500 0.495 0.806
N1 0.000 0.860 0.338
N2 0.000 0.360 0.662
O1 0.500 0.391 0.126
O2 0.500 0.891 0.874
Zn1 0.000 0.508 0.329
Zn2 0.000 0.008 0.671

Computed properties:
**Space-group type**: Pmc2_1, No. 26
**Uncorrected energy**: -5.26 eV/atom
**ρ**: 5.5 g/cm³

[9]
Computed, not measured: a relaxed structure of Y2Tm2CI5 at the PBE level of DFT.

Cell lengths 9.844, 9.844, 8.574 Å; angles 102.18, 102.18, 23.17 degrees
Each line ends with the local moment (μB).
Fractional coordinates of all 10 atoms:
C1 0.500 0.500 0.000  0.00
I1 0.834 0.834 0.171  0.00
I2 0.163 0.163 0.333  0.00
I3 0.500 0.500 0.500  0.00
I4 0.837 0.837 0.667  0.00
I5 0.166 0.166 0.829  0.00
Tm1 0.625 0.625 0.062  0.05
Tm2 0.375 0.375 0.938  0.05
Y1 0.000 0.000 0.190  0.02
Y2 0.000 0.000 0.810  0.02

Computed properties:
**Space-group type**: C2/m, No. 12
**Uncorrected energy**: -4.97 eV/atom
**Total magnetization**: 0.247 μB/f.u.
**ρ**: 6.0 g/cm³

[10]
Computed, not measured: a relaxed structure of CoAgSn2 at the PBE level of DFT.

Cell lengths 4.826, 4.826, 4.826 Å; angles 60.00, 60.00, 60.00 degrees
Fractional coordinates of all 4 atoms:
Ag1 0.500 0.500 0.500
Co1 0.250 0.250 0.250
Sn1 0.000 0.000 0.000
Sn2 0.750 0.750 0.750

Computed properties:
**Space-group type**: F-43m, No. 216
**Uncorrected energy**: -3.99 eV/atom
**Total magnetization**: 1.183 μB/f.u.
**ρ**: 8.4 g/cm³

[11]
Computed, not measured: a relaxed structure of Rb2InAgAu2 at the PBE level of DFT.

Cell lengths 5.765, 6.904, 9.161 Å; angles 90.00, 90.00, 90.00 degrees
Fractional coordinates of all 12 atoms:
Ag1 0.000 0.000 0.000
Ag2 0.500 0.000 0.000
Au1 0.250 0.208 0.220
Au2 0.250 0.792 0.220
Au3 0.750 0.208 0.780
Au4 0.750 0.792 0.780
In1 0.250 0.500 0.424
In2 0.750 0.500 0.576
Rb1 0.750 0.500 0.134
Rb2 0.750 0.000 0.374
Rb3 0.250 0.000 0.626
Rb4 0.250 0.500 0.866

Computed properties:
**Space-group type**: Pmma, No. 51
**Uncorrected energy**: -2.60 eV/atom
**ρ**: 7.2 g/cm³

[12]
Computed, not measured: a relaxed structure of HfBPO at the PBE level of DFT.

Cell lengths 2.847, 5.429, 6.367 Å; angles 90.00, 90.00, 90.00 degrees
Fractional coordinates of all 8 atoms:
B1 0.000 0.892 0.032
B2 0.000 0.108 0.532
Hf1 0.500 0.253 0.077
Hf2 0.500 0.747 0.577
O1 0.500 0.108 0.408
O2 0.500 0.892 0.908
P1 0.000 0.626 0.236
P2 0.000 0.374 0.736

Computed properties:
**Space-group type**: Pmc2_1, No. 26
**Uncorrected energy**: -7.71 eV/atom
**Total magnetization**: 0.001 μB/f.u.
**ρ**: 8.0 g/cm³

[13]
Computed, not measured: a relaxed structure of TaBeAg at the PBE level of DFT.

Cell lengths 4.252, 4.252, 4.252 Å; angles 60.00, 60.00, 60.00 degrees
Fractional coordinates of all 3 atoms:
Ag1 0.250 0.250 0.250
Be1 0.750 0.750 0.750
Ta1 0.000 0.000 0.000

Computed properties:
**Space-group type**: F-43m, No. 216
**Uncorrected energy**: -4.98 eV/atom
**Total magnetization**: 0.001 μB/f.u.
**ρ**: 9.1 g/cm³